Density functional theory data (GGA-PBE) for a geometry-optimized RbPmAgSe3 structure.

Lattice parameters (Å, degrees): 8.181 8.181 11.028 90.00 90.00 149.86
Sites, in units of the cell vectors:
1 Rb 0.249 0.751 0.750
2 Rb 0.751 0.249 0.250
3 Pm 0.500 0.500 0.000
4 Pm 0.500 0.500 0.500
5 Ag 0.032 0.968 0.250
6 Ag 0.968 0.032 0.750
7 Se 0.125 0.875 0.054
8 Se 0.125 0.875 0.446
9 Se 0.429 0.571 0.250
10 Se 0.571 0.429 0.750
11 Se 0.875 0.125 0.554
12 Se 0.875 0.125 0.946

Formation energy from raw total energies   -1116 meV per atom
DOS at the Fermi energy   1.13 states/eV/atom
Final energy   -4.29 eV per atom
SG   Cmcm, No. 63
Total moment   0.000 μB per atom
Volume   30.886 Å³ per atom


Density functional theory data (GGA-PBE) for a geometry-optimized Ba2PmBi2O6 structure.

Lattice parameters (Å, degrees): 6.448 6.448 7.203 114.62 114.62 61.74
Sites, in units of the cell vectors:
1 Ba 0.209 0.209 0.134
2 Ba 0.791 0.791 0.866
3 Pm 0.000 0.000 0.500
4 Bi 0.436 0.436 0.737
5 Bi 0.564 0.564 0.263
6 O 0.166 0.675 0.217
7 O 0.211 0.211 0.499
8 O 0.325 0.834 0.783
9 O 0.675 0.166 0.217
10 O 0.789 0.789 0.501
11 O 0.834 0.325 0.783

Formation energy from raw total energies   -2008 meV per atom
DOS at the Fermi energy   0.41 states/eV/atom
Final energy   -6.20 eV per atom
SG   C2/m, No. 12
Total moment   0.017 μB per atom
Volume   20.965 Å³ per atom


Density functional theory data (GGA-PBE) for a geometry-optimized Pr4RuI2Cl structure.

Lattice parameters (Å, degrees): 7.624 4.172 8.368 90.00 106.82 90.00
Sites, in units of the cell vectors:
1 Pr 0.203 0.000 0.192
2 Pr 0.249 0.500 0.808
3 Pr 0.751 0.500 0.192
4 Pr 0.797 0.000 0.808
5 Ru 0.000 0.500 0.000
6 I 0.000 0.000 0.500
7 I 0.500 0.500 0.500
8 Cl 0.500 0.000 0.000

Formation energy from raw total energies   -904 meV per atom
DOS at the Fermi energy   0.61 states/eV/atom
Final energy   -5.07 eV per atom
SG   P2/m, No. 10
Total moment   0.000 μB per atom
Volume   31.844 Å³ per atom


Density functional theory data (GGA-PBE) for a geometry-optimized AcMnP2 structure.

Lattice parameters (Å, degrees): 3.588 3.588 6.251 90.00 90.00 90.00
Sites, in units of the cell vectors:
1 Ac 0.000 0.000 0.000
2 Mn 0.000 0.000 0.500
3 P 0.500 0.500 0.318
4 P 0.500 0.500 0.682

Energy of formation   -0.272 eV/atom
DOS at the Fermi energy   0.73 states/eV/atom
Polymorph energy (0 for the lowest one)   441 meV per atom
Final energy   -6.30 eV per atom
SG   P4/mmm, No. 123
Total moment   1.000 μB per atom
Volume   20.116 Å³ per atom


Density functional theory data (GGA-PBE) for a geometry-optimized LiYLu2 structure.

Lattice parameters (Å, degrees): 11.250 11.250 11.250 17.61 17.61 17.61
Sites, in units of the cell vectors:
1 Li 0.000 0.000 0.000
2 Y 0.500 0.500 0.500
3 Lu 0.252 0.252 0.252
4 Lu 0.748 0.748 0.748

Energy of formation   0.123 eV/atom
DOS at the Fermi energy   1.29 states/eV/atom
Polymorph energy (0 for the lowest one)   41 meV per atom
Final energy   -4.23 eV per atom
SG   R-3m, No. 166
Total moment   0.000 μB per atom
Volume   28.448 Å³ per atom


Density functional theory data (GGA-PBE) for a geometry-optimized NaTaS2 structure.

Lattice parameters (Å, degrees): 7.060 7.060 7.060 129.04 129.04 74.94
Sites, in units of the cell vectors:
1 Na 0.000 0.000 0.000
2 Na 0.750 0.250 0.500
3 Ta 0.250 0.750 0.500
4 Ta 0.500 0.500 0.000
5 S 0.183 0.625 0.058
6 S 0.375 0.433 0.558
7 S 0.567 0.125 0.942
8 S 0.875 0.817 0.442

Formation energy from raw total energies   -648 meV per atom
DOS at the Fermi energy   0.58 states/eV/atom
Final energy   -6.00 eV per atom
SG   I-42d, No. 122
Total moment   0.337 μB per atom
Volume   25.842 Å³ per atom


Density functional theory data (GGA-PBE) for a geometry-optimized LiHNO2 structure.

Lattice parameters (Å, degrees): 3.548 3.548 3.565 90.00 90.00 90.00
Sites, in units of the cell vectors:
1 Li 0.000 0.000 0.000
2 H 0.500 0.500 0.500
3 N 0.000 0.000 0.500
4 O 0.000 0.500 0.000
5 O 0.500 0.000 0.000

DOS at the Fermi energy   1.03 states/eV/atom
Final energy   -2.91 eV per atom
SG   P4/mmm, No. 123
Total moment   0.001 μB per atom
Volume   8.977 Å³ per atom


Density functional theory data (GGA-PBE) for a geometry-optimized AcTe5Pb4 structure.

Lattice parameters (Å, degrees): 7.898 7.898 11.017 115.72 115.72 36.73
Sites, in units of the cell vectors:
1 Ac 0.000 0.000 0.000
2 Te 0.000 0.000 0.500
3 Te 0.200 0.200 0.304
4 Te 0.398 0.398 0.100
5 Te 0.602 0.602 0.900
6 Te 0.800 0.800 0.696
7 Pb 0.207 0.207 0.789
8 Pb 0.407 0.407 0.597
9 Pb 0.593 0.593 0.403
10 Pb 0.793 0.793 0.211

Formation energy from raw total energies   -613 meV per atom
DOS at the Fermi energy   0.36 states/eV/atom
Final energy   -4.08 eV per atom
SG   C2/m, No. 12
Total moment   0.000 μB per atom
Volume   36.555 Å³ per atom


Density functional theory data (GGA-PBE) for a geometry-optimized Pt3RhI structure.

Lattice parameters (Å, degrees): 4.877 4.877 4.877 90.00 90.00 90.00
Sites, in units of the cell vectors:
1 Pt 0.000 0.000 0.500
2 Pt 0.000 0.500 0.000
3 Pt 0.500 0.000 0.000
4 Rh 0.000 0.000 0.000
5 I 0.500 0.500 0.500

Formation energy from raw total energies   1269 meV per atom
DOS at the Fermi energy   1.32 states/eV/atom
Polymorph energy (0 for the lowest one)   0 meV per atom
Final energy   -4.14 eV per atom
SG   Pm-3m, No. 221
Total moment   0.387 μB per atom
Volume   23.194 Å³ per atom


Density functional theory data (GGA-PBE) for a geometry-optimized CdIn2As structure.

Lattice parameters (Å, degrees): 5.482 5.482 5.482 128.60 128.60 75.65
Sites, in units of the cell vectors:
1 Cd 0.000 0.000 0.000
2 In 0.250 0.750 0.500
3 In 0.500 0.500 0.000
4 As 0.750 0.250 0.500

Energy of formation   0.114 eV/atom
DOS at the Fermi energy   0.37 states/eV/atom
Polymorph energy (0 for the lowest one)   110 meV per atom
Final energy   -2.65 eV per atom
SG   I-4m2, No. 119
Total moment   0.000 μB per atom
Volume   24.469 Å³ per atom


Density functional theory data (GGA-PBE) for a geometry-optimized Tb8Y6Mg structure.

Lattice parameters (Å, degrees): 9.406 9.406 6.305 90.00 90.00 120.00
Sites, in units of the cell vectors:
1 Tb 0.039 0.770 0.184
2 Tb 0.230 0.269 0.184
3 Tb 0.269 0.039 0.816
4 Tb 0.333 0.667 0.180
5 Tb 0.667 0.333 0.820
6 Tb 0.731 0.961 0.184
7 Tb 0.770 0.731 0.816
8 Tb 0.961 0.230 0.816
9 Y 0.092 0.642 0.682
10 Y 0.358 0.450 0.682
11 Y 0.450 0.092 0.318
12 Y 0.550 0.908 0.682
13 Y 0.642 0.550 0.318
14 Y 0.908 0.358 0.318
15 Mg 0.000 0.000 0.500

Energy of formation   0.139 eV/atom
DOS at the Fermi energy   1.38 states/eV/atom
Final energy   -5.02 eV per atom
SG   P-3, No. 147
Total moment   0.000 μB per atom
Volume   32.204 Å³ per atom


Density functional theory data (GGA-PBE) for a geometry-optimized BaLa structure.

Lattice parameters (Å, degrees): 4.011 4.011 6.682 90.00 90.00 120.00
Sites, in units of the cell vectors:
1 Ba 0.000 0.000 0.000
2 La 0.667 0.333 0.500

Energy of formation   0.206 eV/atom
DOS at the Fermi energy   1.89 states/eV/atom
Polymorph energy (0 for the lowest one)   109 meV per atom
Final energy   -3.22 eV per atom
SG   P-6m2, No. 187
Total moment   0.167 μB per atom
Volume   46.537 Å³ per atom